(1)
DFT (PBE) results for a geometry-optimized La4MnCd structure.

The structure in POSCAR format:
```
La4MnCd
1.0
0.000 4.598 4.598
4.598 0.000 4.598
4.598 4.598 0.000
La Mn Cd
4 1 1
Direct
0.125 0.125 0.125
0.125 0.125 0.626
0.125 0.626 0.125
0.626 0.125 0.125
0.750 0.750 0.750
0.500 0.500 0.500
```

Results
Excess energy over the best structure of this formula in the dataset (eV/f.u.): 3.14
Symmetry: F-43m
DOS(E_F) (states/eV/atom): 1.505
E_form (eV/f.u.): 2.97
Mass density (g cm⁻³): 6.2

=====

(2)
DFT (PBE) results for a geometry-optimized PmTl2Sn2 structure.

The structure in POSCAR format:
```
PmTl2Sn2
1.0
-2.212 2.212 7.972
2.212 -2.212 7.972
2.212 2.212 -7.972
Pm Tl Sn
1 2 2
Direct
0.000 0.000 0.000
0.250 0.750 0.500
0.750 0.250 0.500
0.410 0.410 0.000
0.590 0.590 0.000
```

Results
Symmetry: I4/mmm
DOS(E_F) (states/eV/atom): 0.625
E_form (eV/f.u.): -0.67
Mass density (g cm⁻³): 8.4

=====

(3)
DFT (PBE) results for a geometry-optimized Tb9Pr4Er11 structure.

The structure in POSCAR format:
```
Tb9Pr4Er11
1.0
8.341 -12.534 0.000
8.341 12.534 0.000
0.000 0.000 3.700
Tb Pr Er
9 4 11
Direct
0.000 0.000 0.000
0.134 0.661 0.000
0.289 0.435 0.000
0.339 0.866 0.000
0.435 0.289 0.000
0.565 0.711 0.000
0.661 0.134 0.000
0.711 0.565 0.000
0.866 0.339 0.000
0.054 0.253 0.000
0.253 0.054 0.000
0.747 0.946 0.000
0.946 0.747 0.000
0.093 0.455 0.500
0.138 0.862 0.500
0.217 0.217 0.500
0.341 0.659 0.500
0.455 0.093 0.500
0.500 0.500 0.500
0.545 0.907 0.500
0.659 0.341 0.500
0.783 0.783 0.500
0.862 0.138 0.500
0.907 0.545 0.500
```

Results
Symmetry: Cmmm
DOS(E_F) (states/eV/atom): 1.247
E_form (eV/f.u.): 1.49
Mass density (g cm⁻³): 8.2

=====

(4)
DFT (PBE) results for a geometry-optimized KCaNb structure.

The structure in POSCAR format:
```
KCaNb
1.0
3.464 0.000 0.000
-1.726 6.757 0.000
-0.034 -3.283 9.320
K Ca Nb
2 2 2
Direct
0.000 0.000 0.000
0.300 0.600 0.165
0.372 0.738 0.569
0.674 0.338 0.719
0.031 0.058 0.432
0.651 0.298 0.382
```

Results
Excess energy over the best structure of this formula in the dataset (eV/f.u.): 0.98
Symmetry: P1
DOS(E_F) (states/eV/atom): 1.167
E_form (eV/f.u.): 1.82
Mass density (g cm⁻³): 2.6

=====

(5)
DFT (PBE) results for a geometry-optimized LiCa2Hg4 structure.

The structure in POSCAR format:
```
LiCa2Hg4
1.0
-2.444 2.444 8.020
2.444 -2.444 8.020
2.444 2.444 -8.020
Li Ca Hg
1 2 4
Direct
0.000 0.000 0.000
0.363 0.363 0.000
0.637 0.637 0.000
0.000 0.500 0.500
0.169 0.169 0.000
0.500 0.000 0.500
0.831 0.831 0.000
```

Results
Excess energy over the best structure of this formula in the dataset (eV/f.u.): 0.42
Symmetry: I4/mmm
DOS(E_F) (states/eV/atom): 0.350
E_form (eV/f.u.): -2.12
Mass density (g cm⁻³): 7.7

=====

(6)
DFT (PBE) results for a geometry-optimized K2SiAu structure.

The structure in POSCAR format:
```
K2SiAu
1.0
3.740 -2.161 0.000
3.740 2.161 0.000
-2.363 0.000 9.304
K Si Au
2 1 1
Direct
0.000 0.000 0.000
0.163 0.163 0.520
0.749 0.749 0.260
0.415 0.415 0.260
```

Results
Formation energy (no corrections) (eV per atom): -0.133
Symmetry: Cm
DOS(E_F) (states/eV/atom): 0.616
Mass density (g cm⁻³): 3.3

=====

(7)
DFT (PBE) results for a geometry-optimized Sc3ReTe structure.

The structure in POSCAR format:
```
Sc3ReTe
1.0
5.120 0.000 0.000
0.000 5.120 0.000
0.000 0.000 5.120
Sc Re Te
3 1 1
Direct
0.000 0.000 0.500
0.000 0.500 0.000
0.500 0.000 0.000
0.500 0.500 0.500
0.000 0.000 0.000
```

Results
Formation energy (no corrections) (eV per atom): 0.945
Excess energy over the best structure of this formula in the dataset (eV/f.u.): 4.46
Symmetry: Pm-3m
DOS(E_F) (states/eV/atom): 0.699
Mass density (g cm⁻³): 5.5

=====

(8)
DFT (PBE) results for a geometry-optimized RbLi2CaAg structure.

The structure in POSCAR format:
```
RbLi2CaAg
1.0
5.551 0.000 0.000
0.000 5.551 0.000
0.000 0.000 5.782
Rb Li Ca Ag
1 2 1 1
Direct
0.000 0.000 0.000
0.000 0.500 0.500
0.500 0.000 0.500
0.500 0.500 0.000
0.500 0.500 0.500
```

Results
Symmetry: P4/mmm
DOS(E_F) (states/eV/atom): 0.683
E_form (eV/f.u.): 0.47
Mass density (g cm⁻³): 2.3

=====

(9)
DFT (PBE) results for a geometry-optimized Pu2SiN structure.

The structure in POSCAR format:
```
Pu2SiN
1.0
1.791 1.034 6.836
-1.791 1.034 6.836
0.000 -2.068 6.836
Pu Si N
2 1 1
Direct
0.233 0.233 0.233
0.767 0.767 0.767
0.000 0.000 0.000
0.500 0.500 0.500
```

Results
Formation energy (no corrections) (eV per atom): -0.637
Excess energy over the best structure of this formula in the dataset (eV/f.u.): 0.00
Symmetry: R-3m
DOS(E_F) (states/eV/atom): 3.246
Mass density (g cm⁻³): 11.6

=====

(10)
DFT (PBE) results for a geometry-optimized Ac4IrAu2Br structure.

The structure in POSCAR format:
```
Ac4IrAu2Br
1.0
7.730 0.000 0.000
0.000 4.501 0.000
-2.560 0.000 7.684
Ac Ir Au Br
4 1 2 1
Direct
0.233 0.000 0.216
0.250 0.500 0.783
0.750 0.500 0.217
0.767 0.000 0.784
0.000 0.500 0.000
0.500 0.000 0.000
0.500 0.500 0.500
0.000 0.000 0.500
```

Results
Formation energy (no corrections) (eV per atom): -0.914
Symmetry: P2/m
DOS(E_F) (states/eV/atom): 0.735
Mass density (g cm⁻³): 9.8

=====

(11)
DFT (PBE) results for a geometry-optimized Dy4Cd3Ru structure.

The structure in POSCAR format:
```
Dy4Cd3Ru
1.0
3.478 0.000 0.000
0.000 3.478 0.000
0.000 0.000 16.237
Dy Cd Ru
4 3 1
Direct
0.000 0.000 0.101
0.000 0.000 0.367
0.000 0.000 0.633
0.000 0.000 0.899
0.500 0.500 0.239
0.500 0.500 0.500
0.500 0.500 0.761
0.500 0.500 0.000
```

Results
Symmetry: P4/mmm
DOS(E_F) (states/eV/atom): 0.748
E_form (eV/f.u.): -2.82
Mass density (g cm⁻³): 9.2

=====

(12)
DFT (PBE) results for a geometry-optimized TaReTe structure.

The structure in POSCAR format:
```
TaReTe
1.0
-1.577 2.154 4.068
1.577 -2.154 4.068
1.577 2.154 -4.068
Ta Re Te
1 1 1
Direct
0.000 0.000 0.000
0.339 0.339 0.000
0.669 0.669 0.000
```

Results
Formation energy (no corrections) (eV per atom): 0.501
Excess energy over the best structure of this formula in the dataset (eV/f.u.): 0.99
Symmetry: Imm2
DOS(E_F) (states/eV/atom): 0.438
Mass density (g cm⁻³): 14.9

=====

Question: The highest mass density belongs to which entry?
Answer: TaReTe

=====

Please write out number 9 again, unchanged.
DFT (PBE) results for a geometry-optimized Pu2SiN structure.

The structure in POSCAR format:
```
Pu2SiN
1.0
1.791 1.034 6.836
-1.791 1.034 6.836
0.000 -2.068 6.836
Pu Si N
2 1 1
Direct
0.233 0.233 0.233
0.767 0.767 0.767
0.000 0.000 0.000
0.500 0.500 0.500
```

Results
Formation energy (no corrections) (eV per atom): -0.637
Excess energy over the best structure of this formula in the dataset (eV/f.u.): 0.00
Symmetry: R-3m
DOS(E_F) (states/eV/atom): 3.246
Mass density (g cm⁻³): 11.6